A plane-wave DFT calculation with PBE-GGA was carried out for an optimized crystal structure of ZrOs2Pb.

## Properties
**Total moment**: 0.0 μB/f.u.
**Calculated formation energy**: 0.41 eV/atom

```
data_ZrOs2Pb
_symmetry_space_group_name_H-M 'C 1 2/m 1'
_symmetry_Int_Tables_number 12
_cell_length_a 9.207
_cell_length_b 3.140
_cell_length_c 5.268
_cell_angle_alpha 90.00
_cell_angle_beta 101.97
_cell_angle_gamma 90.00
loop_
_symmetry_equiv_pos_as_xyz
'x,y,z'
'-x,-y,-z'
'-x,y,-z'
'x,-y,z'
'x+1/2,y+1/2,z'
'-x+1/2,-y+1/2,-z'
'-x+1/2,y+1/2,-z'
'x+1/2,-y+1/2,z'
loop_
_atom_site_label
_atom_site_type_symbol
_atom_site_fract_x
_atom_site_fract_y
_atom_site_fract_z
_atom_site_occupancy
Zr1 Zr 0.000 0.000 0.000 1
Os1 Os 0.241 0.500 0.221 1
Pb1 Pb 0.000 0.500 0.500 1
```